Material: VOF
Method: DFT, PBE with a Hubbard U
State: relaxed

a b c (Å): 4.665 5.674 10.530
angles (deg): 96.04 91.11 92.11
Atoms (fractional coordinates):
O1 0.296 0.986 0.327
O2 0.289 0.730 0.569
O3 0.803 0.262 0.929
O4 0.197 0.738 0.071
O5 0.711 0.270 0.431
O6 0.694 0.517 0.175
O7 0.306 0.483 0.825
O8 0.704 0.014 0.673
V1 0.482 0.750 0.738
V2 0.500 0.000 0.500
V3 0.981 0.256 0.763
V4 0.000 0.000 0.000
V5 0.000 0.500 0.500
V6 0.518 0.250 0.262
V7 0.019 0.744 0.237
V8 0.500 0.500 0.000
F1 0.707 0.772 0.917
F2 0.207 0.981 0.829
F3 0.801 0.764 0.415
F4 0.793 0.019 0.171
F5 0.793 0.523 0.673
F6 0.207 0.477 0.327
F7 0.199 0.236 0.585
F8 0.293 0.228 0.083

## Properties
raw total energy: -7.140 eV/atom